First-principles (PBE) data for a relaxed structure of TaFeW3, as listed in the Alexandria database.

The formation energy comes out at 1.1937 eV/atom. The total DFT energy (no corrections) is -10.64 eV per atom. For the density of states at the Fermi level, the calculation gives 0.753 states/eV per atom.

The structure belongs to space group Pm-3m (No. 221); the cell edges are 4.456, 4.456 and 4.456 Å and the angles 90.00°, 90.00° and 90.00°. The inequivalent atoms are Ta at (0.000, 0.000, 0.000), Fe at (0.500, 0.500, 0.500) and W at (0.000, 0.500, 0.500).